Record 1
An optimized crystal structure of SrB2TeO8, computed with PBE-GGA.

Calculated values
The calculation puts the total energy at -77.86 eV/f.u.

Cell and atoms, written as POSCAR:
```
SrB2TeO8
1.0
3.8824 -2.5363 0.0000
3.8824 2.5363 0.0000
-0.2475 0.0000 7.4267
Sr B Te O
1 2 1 8
Direct
0.0000 0.0000 0.0000
0.3662 0.3662 0.7016
0.6338 0.6338 0.2984
0.0000 0.0000 0.5000
0.2349 0.7187 0.6946
0.2464 0.2464 0.5434
0.2813 0.7651 0.3054
0.3023 0.3023 0.8796
0.6977 0.6977 0.1204
0.7187 0.2349 0.6946
0.7536 0.7536 0.4566
0.7651 0.2813 0.3054
```

=====

Record 2
An optimized crystal structure of SrBTeO5, computed with PBE-GGA.

Calculated values
The calculation puts the total energy at -50.87 eV/f.u.

Cell and atoms, written as POSCAR:
```
SrBTeO5
1.0
3.3609 -4.4297 0.0000
3.3609 4.4297 0.0000
-3.0827 0.0000 6.7236
Sr B Te O
2 2 2 10
Direct
0.1539 0.8461 0.7500
0.8461 0.1539 0.2500
0.1893 0.8107 0.2500
0.8107 0.1893 0.7500
0.5000 0.5000 0.0000
0.5000 0.5000 0.5000
0.0882 0.2561 0.9009
0.1850 0.6215 0.3666
0.2561 0.0882 0.4009
0.3785 0.8150 0.1334
0.4250 0.5750 0.7500
0.5750 0.4250 0.2500
0.6215 0.1850 0.8666
0.7439 0.9118 0.5991
0.8150 0.3785 0.6334
0.9118 0.7439 0.0991
```

=====

Record 3
An optimized crystal structure of SrTi3B4O12, computed with PBE-GGA.

Calculated values
The calculation puts the total energy at -165.75 eV/f.u.

Cell and atoms, written as POSCAR:
```
SrTi3B4O12
1.0
4.8853 2.8205 2.5700
-4.8853 2.8205 2.5700
0.0000 -5.6411 2.5700
Sr Ti B O
1 3 4 12
Direct
0.0000 0.0000 0.0000
0.0000 0.5570 0.4430
0.4430 0.0000 0.5570
0.5570 0.4430 0.0000
0.0621 0.5000 0.9379
0.5000 0.5000 0.5000
0.5000 0.9379 0.0621
0.9379 0.0621 0.5000
0.0317 0.6145 0.7747
0.0817 0.9183 0.5000
0.2253 0.3855 0.9683
0.3577 0.6423 0.5000
0.3855 0.9683 0.2253
0.5000 0.0817 0.9183
0.5000 0.3577 0.6423
0.6145 0.7747 0.0317
0.6423 0.5000 0.3577
0.7747 0.0317 0.6145
0.9183 0.5000 0.0817
0.9683 0.2253 0.3855
```

=====

Record 4
An optimized crystal structure of Sr3TiB2O8, computed with PBE-GGA.

Calculated values
The calculation puts the total energy at -105.32 eV/f.u.

Cell and atoms, written as POSCAR:
```
Sr3TiB2O8
1.0
5.2555 0.0000 0.0000
-2.6277 4.5514 0.0000
0.0000 0.0000 6.7999
Sr Ti B O
3 1 2 8
Direct
0.0000 0.0000 0.0000
0.3333 0.6667 0.6888
0.6667 0.3333 0.3112
0.0000 0.0000 0.5000
0.3333 0.6667 0.2406
0.6667 0.3333 0.7594
0.1766 0.3532 0.3294
0.1766 0.8234 0.3294
0.3333 0.6667 0.0363
0.3532 0.1766 0.6706
0.6468 0.8234 0.3294
0.6667 0.3333 0.9637
0.8234 0.1766 0.6706
0.8234 0.6468 0.6706
```

=====

Record 5
An optimized crystal structure of Sr2TlBO5, computed with PBE-GGA.

Calculated values
The calculation puts the total energy at -55.39 eV/f.u.

Cell and atoms, written as POSCAR:
```
Sr2TlBO5
1.0
1.7116 -6.8296 0.0000
1.7116 6.8296 0.0000
0.0000 0.0000 11.0560
Sr Tl B O
4 2 2 10
Direct
0.1090 0.8910 0.5000
0.1398 0.8602 0.1817
0.8602 0.1398 0.6817
0.8910 0.1090 0.0000
0.1811 0.8189 0.8843
0.8189 0.1811 0.3843
0.4375 0.5625 0.2165
0.5625 0.4375 0.7165
0.0346 0.9654 0.8096
0.2979 0.7021 0.5196
0.3384 0.6616 0.2077
0.3376 0.6624 0.8495
0.4963 0.5037 0.6258
0.5037 0.4963 0.1258
0.6624 0.3376 0.3495
0.6616 0.3384 0.7077
0.7021 0.2979 0.0196
0.9654 0.0346 0.3096
```

=====

Record 6
An optimized crystal structure of SrTlBO4, computed with PBE-GGA.

Calculated values
The calculation puts the total energy at -43.59 eV/f.u.

Cell and atoms, written as POSCAR:
```
SrTlBO4
1.0
3.0391 -4.7203 0.0000
3.0391 4.7203 0.0000
0.0000 0.0000 6.4822
Sr Tl B O
2 2 2 8
Direct
0.0000 0.0000 0.0000
0.0000 0.0000 0.5000
0.3387 0.6613 0.7500
0.6613 0.3387 0.2500
0.3620 0.6380 0.2500
0.6380 0.3620 0.7500
0.2560 0.3460 0.2500
0.2598 0.7402 0.0692
0.2598 0.7402 0.4308
0.3460 0.2560 0.7500
0.6540 0.7440 0.2500
0.7402 0.2598 0.5692
0.7402 0.2598 0.9308
0.7440 0.6540 0.7500
```